A relaxed structure of Rb4AcTh3S8, computed with PBE-GGA.

## Properties
E (eV per cell): -270.84
Volume (Å³/f.u.): 479
D(E_F) (states/eV/f.u.): 10.784

a b c (Å): 8.4262 8.4262 23.3900
angles (deg): 90.00 90.00 120.00
With the nearest neighbours (Å) after each atom.
Space group R-3m (No. 166, hexagonal axes)
Unique sites:
Rb: 0.0000 0.0000 0.0000 x3  6 S 3.27
Rb: 0.0000 0.5000 0.0000 x9  6 S 3.38-3.39
Ac: 0.0000 0.0000 0.5000 x3  6 S 3.00
Th: 0.0000 0.5000 0.5000 x9  6 S 2.86-2.88
S: 0.0000 0.0000 0.2327 x6  3 Th 2.88
S: 0.0154 0.5077 0.7652 x18  2 Th 2.86, 1 Ac 3.00